A relaxed Tb2BeVO6 crystal, computed with GGA+U.

As for the crystal system: monoclinic. The total energy is -157.00 eV/cell.

The space group is P2_1/c (No. 14) and the conventional cell measures 5.246, 5.487 and 8.964 Å, with angles of 90.00, 125.45 and 90.00 degrees. The distinct sites, in fractional coordinates, are Tb at (0.232, 0.063, 0.249), Be at (0.000, 0.000, 0.500), V at (0.500, 0.000, 0.000), O at (0.152, 0.207, 0.954), O at (0.246, 0.699, 0.954) and O at (0.332, 0.019, 0.747).